No. 1
Er17Te3Ru6 | Alexandria via LeMat-Bulk | GGA-PBE | optimized geometry; final energy = -6.09 eV/atom; V = 1302.1 Å³ per cell
1.0
-1.564 -3.180 1.823
9.324 -9.715 -8.930
14.214 3.634 14.173
Ru Er Te
12 34 6
direct
0.186 0.475 0.373
0.635 0.220 0.268
0.809 0.005 0.618
0.639 0.723 0.277
0.022 0.188 0.046
0.978 0.812 0.954
0.365 0.780 0.732
0.191 0.995 0.382
0.025 0.692 0.051
0.361 0.277 0.723
0.975 0.308 0.949
0.814 0.525 0.627
0.134 0.096 0.267
0.824 0.709 0.648
0.730 0.929 0.460
0.645 0.921 0.289
0.906 0.229 0.812
0.270 0.585 0.539
0.176 0.291 0.352
0.526 0.333 0.050
0.869 0.403 0.739
0.090 0.267 0.179
0.363 0.579 0.725
0.355 0.079 0.711
0.442 0.891 0.884
0.131 0.597 0.261
0.094 0.771 0.188
0.910 0.733 0.821
0.299 0.876 0.597
0.866 0.904 0.733
0.815 0.221 0.630
0.637 0.421 0.275
0.000 0.500 0.000
0.558 0.611 0.117
0.304 0.402 0.609
0.442 0.389 0.883
0.472 0.163 0.945
0.270 0.071 0.540
0.701 0.124 0.403
0.696 0.598 0.391
0.528 0.837 0.055
0.558 0.109 0.116
0.730 0.415 0.461
0.185 0.779 0.370
0.474 0.667 0.950
0.000 0.000 0.000
0.248 0.254 0.500
0.927 0.547 0.853
0.073 0.453 0.147
0.076 0.954 0.152
0.752 0.746 0.500
0.924 0.046 0.848

***

No. 2
CsCu3Tc | Alexandria via LeMat-Bulk | GGA-PBE | optimized geometry; V = 124.6 Å³ per cell; formation energy from the elements = 1054.2 meV per atom; relative energy among the computed polymorphs = 0.00 eV/f.u.
1.0
-0.385 2.557 4.273
0.343 -4.262 2.581
4.968 0.492 0.153
Cu Tc Cs
3 1 1
direct
0.000 0.000 0.500
0.500 0.000 0.000
0.000 0.500 0.000
0.000 0.000 0.000
0.500 0.500 0.500

***

No. 3
LiVRe | Alexandria via LeMat-Bulk | GGA-PBE | optimized geometry; V = 86.9 Å³ per cell; formation energy from the elements = 123.8 meV per atom
1.0
2.541 -0.513 -0.367
-0.836 5.036 -0.099
-1.826 -2.458 7.421
Re Li V
2 2 2
direct
0.011 0.261 0.660
0.989 0.739 0.340
0.976 0.256 0.000
0.024 0.744 0.000
0.993 0.248 0.348
0.007 0.752 0.652

***

No. 4
CsCeHg2 | Alexandria via LeMat-Bulk | GGA-PBE | optimized geometry; V = 141.3 Å³ per cell; formation energy from the elements = -185.1 meV per atom
1.0
3.942 0.000 0.000
0.000 3.942 0.000
0.000 0.000 9.093
Hg Ce Cs
2 1 1
direct
0.000 0.000 0.810
0.000 0.000 0.190
0.500 0.500 0.000
0.500 0.500 0.500

***

No. 5
Zn2OsRu | Alexandria via LeMat-Bulk | GGA-PBE | optimized geometry; V = 56.9 Å³ per cell; formation energy from the elements = 340.3 meV per atom; relative energy among the computed polymorphs = 1.35 eV/f.u.
1.0
4.770 -0.026 0.000
1.767 4.431 0.000
-3.269 -2.202 2.687
Ru Zn Os
1 2 1
direct
0.750 0.250 0.500
0.000 0.000 0.000
0.500 0.500 0.000
0.250 0.750 0.500

***

No. 6
Ta2Nb3Mo | Alexandria via LeMat-Bulk | GGA-PBE | optimized geometry; V = 232.5 Å³ per cell; formation energy from the elements = 503.7 meV per atom; relative energy among the computed polymorphs = 3.33 eV/f.u.
1.0
5.469 0.000 0.000
-2.735 4.737 0.000
0.000 0.000 8.973
Ta Nb Mo
4 6 2
direct
0.000 0.000 0.500
0.333 0.667 0.500
0.667 0.333 0.500
0.000 0.000 0.000
0.500 0.500 0.755
0.500 0.500 0.245
0.500 0.000 0.245
0.500 0.000 0.755
0.000 0.500 0.755
0.000 0.500 0.245
0.667 0.333 0.000
0.333 0.667 0.000

***

No. 7
Ca2Tl2Cd | Alexandria via LeMat-Bulk | GGA-PBE | optimized geometry; V = 297.2 Å³ per cell; formation energy from the elements = -297.3 meV per atom; relative energy among the computed polymorphs = 0.14 eV/f.u.
1.0
8.282 0.000 0.000
0.000 8.282 0.000
0.000 0.000 4.333
Cd Tl Ca
2 4 4
direct
0.500 0.500 0.000
0.000 0.000 0.000
0.863 0.637 0.000
0.363 0.863 0.000
0.637 0.137 0.000
0.137 0.363 0.000
0.334 0.166 0.500
0.666 0.834 0.500
0.834 0.334 0.500
0.166 0.666 0.500

***

No. 8
Sm2GaBRh6 | Alexandria via LeMat-Bulk | GGA-PBE | optimized geometry; V = 171.8 Å³ per cell; formation energy from the elements = -564.7 meV per atom
1.0
6.239 0.000 0.008
0.000 6.239 0.008
3.125 3.125 4.421
Sm Ga Rh B
2 1 6 1
direct
0.750 0.250 0.500
0.250 0.750 0.500
0.000 0.000 0.000
0.733 0.733 0.536
0.732 0.732 0.000
0.268 0.268 0.000
0.268 0.732 0.000
0.267 0.267 0.464
0.732 0.268 0.000
0.500 0.500 0.000

***

No. 9
TcTeCl2 | Alexandria via LeMat-Bulk | GGA-PBE | optimized geometry; V = 98.1 Å³ per cell; relative energy among the computed polymorphs = 0.71 eV/f.u.
1.0
3.659 0.001 0.027
1.828 3.170 0.027
1.723 0.996 8.475
Tc Cl Te
1 2 1
direct
0.504 0.504 0.491
0.983 0.983 0.045
0.779 0.779 0.669
0.234 0.234 0.294

***

No. 10
Li2HgPdN | Alexandria via LeMat-Bulk | GGA-PBE | optimized geometry; final energy = -3.74 eV/atom; V = 72.6 Å³ per cell
1.0
-0.747 -1.608 3.920
-3.242 -2.346 -1.580
2.486 -2.941 -0.733
Li Hg N Pd
2 1 1 1
direct
0.500 0.000 0.000
0.000 0.500 0.000
0.500 0.500 0.500
0.000 0.000 0.000
0.000 0.000 0.500

***

No. 11
TiGaCu | Alexandria via LeMat-Bulk | GGA-PBE | optimized geometry; V = 88.6 Å³ per cell; formation energy from the elements = -242.6 meV per atom
1.0
4.270 0.000 0.000
0.000 2.857 0.000
0.000 0.002 7.266
Ga Ti Cu
2 2 2
direct
0.048 0.618 0.656
0.548 0.618 0.473
0.049 0.117 0.307
0.549 0.117 0.821
0.549 0.617 0.142
0.049 0.617 0.987

***

No. 12
ErZrIr2 | Alexandria via LeMat-Bulk | GGA-PBE | optimized geometry; V = 76.0 Å³ per cell; formation energy from the elements = -848.8 meV per atom
1.0
3.329 0.000 0.000
0.000 3.329 0.000
0.000 0.000 6.855
Zr Ir Er
1 2 1
direct
0.500 0.500 0.000
0.000 0.000 0.231
0.000 0.000 0.769
0.500 0.500 0.500

***

No. 13
SrAgRu2 | Alexandria via LeMat-Bulk | GGA-PBE | optimized geometry; V = 183.6 Å³ per cell; formation energy from the elements = 692.2 meV per atom; relative energy among the computed polymorphs = 1.76 eV/f.u.
1.0
4.277 0.000 0.000
0.000 4.277 0.000
2.138 2.138 10.038
Ag Sr Ru
2 2 4
direct
0.000 0.000 0.000
0.750 0.250 0.500
0.250 0.750 0.500
0.500 0.500 0.000
0.000 0.625 0.250
0.875 0.000 0.750
0.750 0.125 0.250
0.375 0.250 0.750

***

No. 14
SmDy3Er | Alexandria via LeMat-Bulk | GGA-PBE | optimized geometry; V = 319.5 Å³ per cell; formation energy from the elements = 53.8 meV per atom; relative energy among the computed polymorphs = 0.00 eV/f.u.
1.0
8.882 1.016 -0.451
1.686 6.160 1.319
1.278 1.728 6.335
Dy Sm Er
6 2 2
direct
0.952 0.497 0.297
0.449 0.799 0.700
0.154 0.932 0.152
0.551 0.601 0.300
0.049 0.903 0.704
0.846 0.468 0.848
0.345 0.328 0.146
0.655 0.073 0.854
0.248 0.379 0.646
0.752 0.021 0.354

***

No. 15
Ba3Hf2PaO9 | Alexandria via LeMat-Bulk | GGA-PBE | optimized geometry; final energy = -8.61 eV/atom; V = 238.6 Å³ per cell
1.0
-0.621 -4.774 -3.703
5.497 2.394 0.973
0.987 -4.618 5.787
Ba O Hf Pa
3 9 2 1
direct
0.000 0.000 0.000
0.667 0.333 0.327
0.333 0.667 0.673
0.500 0.500 0.000
0.172 0.345 0.323
0.828 0.655 0.677
0.345 0.172 0.677
0.828 0.172 0.677
0.655 0.828 0.323
0.172 0.828 0.323
0.500 0.000 0.000
0.000 0.500 0.000
0.667 0.333 0.842
0.333 0.667 0.158
0.000 0.000 0.500